Density functional theory data (PBE with a Hubbard U) for KGd2CuMo4O16 after structural relaxation.

ρ   5.1 g/cm3
Space group   C2/c
Crystal system   monoclinic
Calculated total energy   -7.885 eV/atom

a b c (Å): 6.9640 6.9640 19.9257
angles (deg): 88.19 88.19 134.79
Last column: nearest neighbours and their distance in Å.
Positions (direct):
O  0.0532  0.5756  0.5673  1 Mo 1.87
K  0.0315  0.9685  0.2500  4 O 2.73
O  0.3193  0.2220  0.1002  1 Mo 1.79
O  0.4958  0.8297  0.4591  1 Mo 1.87
O  0.2220  0.2633  0.4606  1 Mo 1.85
O  0.4713  0.0568  0.2141  1 Mo 1.79
O  0.9765  0.2444  0.1673  1 Mo 1.77
O  0.2220  0.3193  0.6002  1 Mo 1.79
O  0.9432  0.5287  0.2859  1 Mo 1.79
O  0.5042  0.1703  0.5409  1 Mo 1.87
O  0.5049  0.3227  0.8283  1 Mo 1.78
O  0.0568  0.4713  0.7141  1 Mo 1.79
O  0.9468  0.4244  0.4327  1 Mo 1.87
Mo  0.4112  0.5357  0.0921  4 O 1.78-1.87
O  0.5756  0.0532  0.0673  1 Mo 1.87
O  0.4144  0.1037  0.3695  1 Mo 1.81
Mo  0.5888  0.4643  0.9079  4 O 1.78-1.87
O  0.2444  0.9765  0.6673  1 Mo 1.77
O  0.1037  0.4144  0.8695  1 Mo 1.81
Gd  0.8534  0.1461  0.5316  8 O 2.32-2.55
O  0.3227  0.5049  0.3283  1 Mo 1.78
Gd  0.1461  0.8534  0.0316  8 O 2.32-2.55
K  0.9685  0.0315  0.7500  4 O 2.73
Cu  0.6880  0.3120  0.7500  4 O 2.02-2.04
O  0.6807  0.7780  0.8998  1 Mo 1.79
O  0.4244  0.9468  0.9327  1 Mo 1.87
O  0.5856  0.8963  0.6305  1 Mo 1.81
Mo  0.7265  0.2362  0.1456  4 O 1.77-1.87
O  0.8297  0.4958  0.9591  1 Mo 1.87
O  0.0235  0.7556  0.8327  1 Mo 1.77
O  0.8963  0.5856  0.1305  1 Mo 1.81
Gd  0.8539  0.1466  0.9684  8 O 2.32-2.55
Mo  0.4643  0.5888  0.4079  4 O 1.78-1.87
O  0.5287  0.9432  0.7859  1 Mo 1.79
O  0.6773  0.4951  0.6717  1 Mo 1.78
O  0.7367  0.7780  0.0394  1 Mo 1.85
Mo  0.7638  0.2735  0.3544  4 O 1.77-1.87
Cu  0.3120  0.6880  0.2500  4 O 2.02-2.04
O  0.2633  0.2220  0.9606  1 Mo 1.85
O  0.7780  0.6807  0.3998  1 Mo 1.79
Mo  0.2735  0.7638  0.8544  4 O 1.77-1.87
Mo  0.2362  0.7265  0.6456  4 O 1.77-1.87
Gd  0.1466  0.8539  0.4684  8 O 2.32-2.55
O  0.4951  0.6773  0.1717  1 Mo 1.78
Mo  0.5357  0.4112  0.5921  4 O 1.78-1.87
O  0.7556  0.0235  0.3327  1 Mo 1.77
O  0.1703  0.5042  0.0409  1 Mo 1.87
O  0.7780  0.7367  0.5394  1 Mo 1.85